## DyPu3S6 (PBE)

Data for a relaxed structure of DyPu3S6.

Geometry as POSCAR:
```
DyPu3S6
1.0
10.9327 0.0000 0.0000
0.0000 3.9793 0.0000
-3.4747 0.0000 10.8248
Dy Pu S
2 6 12
Direct
0.0433 0.2500 0.1872
0.9567 0.7500 0.8128
0.1581 0.2500 0.5825
0.3202 0.7500 0.0000
0.4287 0.2500 0.3318
0.5713 0.7500 0.6682
0.6798 0.2500 0.0000
0.8419 0.7500 0.4175
0.0851 0.7500 0.4045
0.1111 0.2500 0.9611
0.1866 0.7500 0.7474
0.2521 0.7500 0.2218
0.4032 0.2500 0.5648
0.4823 0.2500 0.1156
0.5177 0.7500 0.8844
0.5968 0.7500 0.4352
0.7479 0.2500 0.7782
0.8134 0.2500 0.2526
0.8889 0.7500 0.0389
0.9149 0.2500 0.5955
```

Summary:
Crystal system: monoclinic
Space-group type: P2_1/m, No. 11
Total DFT energy (no corrections) in eV/cell: -179.2
Raw formation energy in eV per atom: -1.72